(1)
A plane-wave DFT calculation with PBE was carried out for a geometry-optimized CsLiNdSe3 structure.

Properties
mass density: 4.3 g/cm³
raw formation energy: -8.1 eV per formula unit

abc: 4.553 8.826 10.265
angles: 90.00 90.00 104.95
Fractional coordinates of all 12 atoms:
Se  0.600  0.200  0.098
Li  0.520  0.039  0.750
Nd  0.000  0.000  0.500
Se  0.600  0.200  0.402
Li  0.480  0.961  0.250
Nd  0.000  0.000  0.000
Se  0.914  0.828  0.250
Cs  0.753  0.506  0.750
Se  0.086  0.172  0.750
Se  0.400  0.800  0.902
Cs  0.247  0.494  0.250
Se  0.400  0.800  0.598

=====

(2)
A plane-wave DFT calculation with PBE was carried out for a geometry-optimized NaPm2P structure.

Properties
mass density: 4.9 g/cm³
energy above the most stable polymorph in this dataset: 138 meV/atom
formation enthalpy at 0 K: -0.45 eV per atom

abc: 3.581 3.581 9.138
angles: 90.00 90.00 90.00
Fractional coordinates of all 4 atoms:
P  0.500  0.500  0.000
Pm  0.000  0.000  0.823
Na  0.500  0.500  0.500
Pm  0.000  0.000  0.177

=====

(3)
A plane-wave DFT calculation with PBE was carried out for a geometry-optimized La3Al2Ga structure.

Properties
mass density: 5.5 g/cm³
formation enthalpy at 0 K: -0.34 eV per atom

abc: 8.393 9.620 11.671
angles: 90.00 135.89 90.00
Fractional coordinates of all 24 atoms:
Al  0.993  0.851  0.013
La  0.588  0.179  0.298
La  0.088  0.321  0.798
La  0.145  0.399  0.500
La  0.680  0.468  0.845
La  0.355  0.899  0.000
Al  0.859  0.902  0.382
Al  0.493  0.649  0.513
La  0.320  0.532  0.155
Ga  0.444  0.834  0.310
La  0.412  0.821  0.702
La  0.912  0.679  0.202
Al  0.359  0.598  0.882
La  0.645  0.101  0.000
Al  0.507  0.351  0.487
Ga  0.056  0.334  0.190
La  0.855  0.601  0.500
La  0.180  0.032  0.345
Al  0.641  0.402  0.118
Ga  0.556  0.166  0.690
La  0.820  0.968  0.655
Al  0.007  0.149  0.987
Al  0.141  0.098  0.618
Ga  0.944  0.666  0.810

=====

(4)
A plane-wave DFT calculation with PBE was carried out for a geometry-optimized Mg2ScRhW structure.

Properties
mass density: 5.7 g/cm³
formation enthalpy at 0 K: 0.52 eV per atom

abc: 4.785 4.785 4.806
angles: 90.00 90.00 90.00
Fractional coordinates of all 5 atoms:
Rh  0.000  0.000  0.000
Mg  0.000  0.500  0.000
W  0.000  0.000  0.500
Sc  0.500  0.500  0.500
Mg  0.500  0.000  0.000

=====

(5)
A plane-wave DFT calculation with PBE was carried out for a geometry-optimized Ta2ZnP structure.

Properties
mass density: 12.0 g/cm³
formation enthalpy at 0 K: -0.21 eV per atom

abc: 3.050 3.050 6.803
angles: 90.00 90.00 90.00
Fractional coordinates of all 4 atoms:
P  0.500  0.500  0.500
Ta  0.000  0.000  0.719
Ta  0.000  0.000  0.281
Zn  0.500  0.500  0.000

=====

(6)
A plane-wave DFT calculation with PBE was carried out for a geometry-optimized PuFe2Co3 structure.

Properties
mass density: 10.6 g/cm³
formation enthalpy at 0 K: -0.10 eV per atom

abc: 3.944 4.945 4.944
angles: 120.00 90.00 90.00
Fractional coordinates of all 6 atoms:
Pu  0.000  0.001  0.000
Co  0.500  0.001  0.500
Fe  0.000  0.668  0.333
Co  0.500  0.501  0.000
Fe  0.000  0.335  0.667
Co  0.500  0.501  0.500

=====

(7)
A plane-wave DFT calculation with PBE was carried out for a geometry-optimized Ac2TmCu2Se6 structure.

Properties
mass density: 6.2 g/cm³
raw formation energy: -12.1 eV per formula unit

abc: 7.403 7.403 8.134
angles: 62.93 62.93 60.00
Fractional coordinates of all 11 atoms:
Se  0.248  0.248  0.720
Se  0.752  0.752  0.280
Se  0.216  0.752  0.280
Se  0.248  0.784  0.720
Tm  0.000  0.000  0.000
Se  0.784  0.248  0.720
Ac  0.207  0.207  0.379
Se  0.752  0.216  0.280
Ac  0.793  0.793  0.621
Cu  0.431  0.431  0.706
Cu  0.569  0.569  0.294

=====

(8)
A plane-wave DFT calculation with PBE was carried out for a geometry-optimized PmHo2Pt structure.

Properties
mass density: 10.2 g/cm³
energy above the most stable polymorph in this dataset: 29 meV/atom
formation enthalpy at 0 K: -0.67 eV per atom

abc: 3.809 6.509 9.227
angles: 90.00 90.00 107.09
Fractional coordinates of all 8 atoms:
Pm  0.436  0.874  0.250
Ho  0.139  0.277  0.438
Pm  0.564  0.126  0.750
Ho  0.139  0.277  0.062
Pt  0.261  0.523  0.750
Ho  0.861  0.723  0.562
Pt  0.739  0.477  0.250
Ho  0.861  0.723  0.938